The following is a DFT calculation (GGA-PBE) of crystalline Al6CuRh2 at its relaxed geometry.

The calculation puts the raw total energy at -91.85 eV for the cell shown. The value obtained for the total magnetic moment is 0.000 μB per cell. As for the formation energy: -519 meV per atom. For the mass density, the calculation gives 5.52 g cm⁻³.

It has space group C2/m (No. 12), with a = 8.536 Å, b = 3.811 Å, c = 8.282 Å, α = 90.00°, β = 105.70° and γ = 90.00°. The asymmetric unit holds Al at (0.006, 0.000, 0.314), Al at (0.159, 0.500, 0.902), Al at (0.163, 0.500, 0.555), Cu at (0.000, 0.000, 0.000) and Rh at (0.190, 0.500, 0.236).